Entry 1:
! NaBi2Rh2, relaxed, DFT PBE-GGA; values from VASP
&SYSTEM
  ibrav = 0, nat = 10, ntyp = 3
/
ATOMIC_SPECIES
Na 22.99 Na.upf
Bi 208.98 Bi.upf
Rh 102.91 Rh.upf
ATOMIC_POSITIONS angstrom
Na 0.000 0.000 0.000
Na 3.976 3.976 0.000
Bi 1.258 2.717 1.693
Bi 2.717 6.693 1.693
Bi 5.234 1.258 1.693
Bi 6.693 5.234 1.693
Rh 1.051 5.026 0.000
Rh 2.925 1.051 0.000
Rh 5.026 6.900 0.000
Rh 6.900 2.925 0.000
CELL_PARAMETERS angstrom
7.951 0.000 0.000
0.000 7.951 0.000
0.000 0.000 3.386
! Volume, Å³/atom: 21.41
! Fermi-level density of states, states/eV/atom: 0.79
! E, eV per cell: -48.73
! Magnetic moment, μB per cell: 0.000

---

Entry 2:
! NaBi2Rh, relaxed, DFT PBE-GGA; values from VASP
&SYSTEM
  ibrav = 0, nat = 12, ntyp = 3
/
ATOMIC_SPECIES
Na 22.99 Na.upf
Bi 208.98 Bi.upf
Rh 102.91 Rh.upf
ATOMIC_POSITIONS angstrom
Na 0.000 0.000 0.000
Na 0.000 2.156 17.600
Na 1.867 1.078 8.800
Bi 0.000 0.000 6.135
Bi 0.000 0.000 20.265
Bi 0.000 2.156 11.465
Bi 0.000 2.156 23.735
Bi 1.867 1.078 2.665
Bi 1.867 1.078 14.935
Rh 0.000 0.000 13.200
Rh 0.000 2.156 4.400
Rh 1.867 1.078 22.000
CELL_PARAMETERS angstrom
3.734 0.000 0.000
-1.867 3.234 0.000
0.000 0.000 26.400
! Volume, Å³/atom: 26.56
! Fermi-level density of states, states/eV/atom: 0.33
! E, eV per cell: -51.38
! Magnetic moment, μB per cell: 0.000

---

Entry 3:
! Na2Bi2Rh, relaxed, DFT PBE-GGA; values from VASP
&SYSTEM
  ibrav = 0, nat = 10, ntyp = 3
/
ATOMIC_SPECIES
Na 22.99 Na.upf
Bi 208.98 Bi.upf
Rh 102.91 Rh.upf
ATOMIC_POSITIONS angstrom
Na 1.219 2.345 0.000
Na 2.345 5.909 0.000
Na 4.783 1.219 0.000
Na 5.909 4.783 0.000
Bi 1.078 4.642 2.641
Bi 2.486 1.078 2.641
Bi 4.642 6.050 2.641
Bi 6.050 2.486 2.641
Rh 0.000 0.000 2.641
Rh 3.564 3.564 2.641
CELL_PARAMETERS angstrom
7.128 0.000 0.000
0.000 7.128 0.000
0.000 0.000 5.282
! Volume, Å³/atom: 26.84
! Fermi-level density of states, states/eV/atom: 0.41
! E, eV per cell: -37.45
! Magnetic moment, μB per cell: 0.000

---

Entry 4:
! Na2Bi2Rh, relaxed, DFT PBE-GGA; values from VASP
&SYSTEM
  ibrav = 0, nat = 10, ntyp = 3
/
ATOMIC_SPECIES
Na 22.99 Na.upf
Bi 208.98 Bi.upf
Rh 102.91 Rh.upf
ATOMIC_POSITIONS angstrom
Na 0.000 1.738 0.000
Na 0.000 6.835 0.000
Na 1.699 2.548 4.650
Na 1.699 6.025 4.650
Bi 0.000 4.287 2.132
Bi 0.000 4.287 7.167
Bi 1.699 0.000 2.517
Bi 1.699 0.000 6.782
Rh 0.000 0.000 4.650
Rh 1.699 4.287 0.000
CELL_PARAMETERS angstrom
3.397 0.000 0.000
0.000 8.573 0.000
0.000 0.000 9.299
! Volume, Å³/atom: 27.09
! Fermi-level density of states, states/eV/atom: 0.71
! E, eV per cell: -36.93
! Magnetic moment, μB per cell: 0.000

---

> What is the formula in the third record?

Na2Bi2Rh